# TeHPbN2

Crystalline TeHPbN2 at its relaxed geometry (PBE, Alexandria).

Computed properties:
The calculation puts the density of states at the Fermi level at 2.00 states/eV/f.u. The value obtained for the calculated total energy is -16.4 eV per formula unit.

Cell lengths 4.358, 4.358, 6.362 Å; angles 90.00, 90.00, 90.00 degrees
Site moments in Bohr magnetons follow the coordinates.
Fractional coordinates of all 5 atoms:
H (0.500, 0.500, 0.500)  -0.08
Te (0.000, 0.000, 0.500)  0.44
N (0.000, 0.500, 0.000)  0.99
N (0.500, 0.000, 0.000)  0.99
Pb (0.000, 0.000, 0.000)  -0.07

---

# TeHPbN2

Crystalline TeHPbN2 at its relaxed geometry (PBE, Alexandria).

Computed properties:
The calculation puts the density of states at the Fermi level at 2.11 states/eV/f.u. The value obtained for the calculated total energy is -18.3 eV per formula unit.

Cell lengths 4.556, 4.556, 3.541 Å; angles 90.00, 90.00, 90.00 degrees
Site moments in Bohr magnetons follow the coordinates.
Fractional coordinates of all 5 atoms:
N (0.500, 0.000, 0.000)  0.54
N (0.000, 0.500, 0.000)  0.54
H (0.000, 0.000, 0.000)  0.02
Te (0.000, 0.000, 0.500)  -0.07
Pb (0.500, 0.500, 0.500)  0.00

---

# Ti6HPb2N

Crystalline Ti6HPb2N at its relaxed geometry (PBE, Alexandria).

Computed properties:
The calculation puts the density of states at the Fermi level at 9.79 states/eV/f.u. The value obtained for the calculated total energy is -71.3 eV per formula unit.

Cell lengths 5.966, 5.966, 5.969 Å; angles 119.95, 119.95, 90.04 degrees
Fractional coordinates of all 10 atoms:
Ti (0.253, 0.748, 0.000)
Ti (0.747, 0.253, 0.000)
Ti (0.747, 0.747, 0.999)
Ti (0.253, 0.253, 0.000)
Ti (0.747, 0.748, 0.494)
Ti (0.253, 0.253, 0.505)
H (0.500, 0.501, 0.000)
Pb (0.750, 0.250, 0.500)
Pb (0.250, 0.750, 0.500)
N (0.000, 0.000, 0.000)